Er2CuPt (PBE, optimized geometry); ΔH_f (0 K) = -0.836 eV per atom
1.0
4.4284 0.0000 0.0000
0.0000 5.4403 0.0000
0.0000 0.0000 7.0288
Pt Er Cu
2 4 2
Direct
0.5000 0.6138 0.0367 Pt
0.5000 0.3862 0.5367 Pt
0.5000 0.8825 0.6827 Er
0.0000 0.3912 0.8176 Er
0.5000 0.1175 0.1827 Er
0.0000 0.6088 0.3176 Er
0.0000 0.1097 0.4629 Cu
0.0000 0.8903 0.9629 Cu

***

Ta2Zn2Ge (PBE, optimized geometry); final energy = -5.6006 eV per atom
1.0
-1.8903 1.8903 6.6409
1.8903 -1.8903 6.6409
1.8903 1.8903 -6.6409
Ta Zn Ge
2 2 1
Direct
0.7500 0.2500 0.5000 Ta
0.2500 0.7500 0.5000 Ta
0.0923 0.0923 0.0000 Zn
0.9077 0.9077 0.0000 Zn
0.5000 0.5000 0.0000 Ge

***

Tb2HoGa3CuNi2 (PBE, optimized geometry); final energy = -4.7862 eV per atom
1.0
-2.3876 0.9302 2.6945
-1.1397 -6.9089 1.3751
5.2036 3.5035 3.4015
Ga Ho Ni Cu Tb
3 1 2 1 2
Direct
0.5000 0.7439 0.9989 Ga
0.5000 0.9989 0.7439 Ga
0.5000 0.2569 0.2569 Ga
0.0000 0.5881 0.5881 Ho
0.5000 0.6661 0.3342 Ni
0.5000 0.3342 0.6661 Ni
0.0000 0.9992 0.9992 Cu
0.0000 0.4124 0.0001 Tb
0.0000 0.0001 0.4124 Tb

***

GdCuTe2PbS (PBE, optimized geometry); final energy = -4.5860 eV per atom
1.0
2.1030 -7.2354 0.0000
2.1030 7.2354 0.0000
0.0000 0.0000 10.4624
Pb Te Gd Cu S
2 4 2 2 2
Direct
0.2713 0.7287 0.2500 Pb
0.7287 0.2713 0.7500 Pb
0.3513 0.6487 0.5655 Te
0.3513 0.6487 0.9345 Te
0.6487 0.3513 0.4345 Te
0.6487 0.3513 0.0655 Te
0.0000 0.0000 0.0000 Gd
0.0000 0.0000 0.5000 Gd
0.5205 0.4795 0.2500 Cu
0.4795 0.5205 0.7500 Cu
0.0637 0.9363 0.7500 S
0.9363 0.0637 0.2500 S

***

Re12CS17Br6 (PBE, optimized geometry); final energy = -7.0056 eV per atom
1.0
11.9620 0.0000 0.0000
-5.9810 10.3594 0.0000
0.0000 0.0000 16.6791
S Re Br C
17 12 6 1
Direct
0.0000 0.7675 0.4050 S
0.0000 0.2329 0.7128 S
0.0000 0.7675 0.5950 S
0.2329 0.0000 0.2872 S
0.0000 0.2841 0.5000 S
0.2841 0.0000 0.5000 S
0.0000 0.2329 0.2872 S
0.2325 0.2325 0.5950 S
0.0000 0.0000 0.8323 S
0.7675 0.0000 0.5950 S
0.2329 0.0000 0.7128 S
0.7159 0.7159 0.5000 S
0.7671 0.7671 0.2872 S
0.7671 0.7671 0.7128 S
0.2325 0.2325 0.4050 S
0.0000 0.0000 0.1677 S
0.7675 0.0000 0.4050 S
0.0000 0.1321 0.4130 Re
0.0000 0.1321 0.5870 Re
0.1252 0.1252 0.2809 Re
0.1321 0.0000 0.4130 Re
0.8748 0.0000 0.7191 Re
0.8679 0.8679 0.5870 Re
0.1321 0.0000 0.5870 Re
0.1252 0.1252 0.7191 Re
0.0000 0.8748 0.7191 Re
0.8679 0.8679 0.4130 Re
0.8748 0.0000 0.2809 Re
0.0000 0.8748 0.2809 Re
0.2961 0.2961 0.1950 Br
0.7039 0.0000 0.8050 Br
0.2961 0.2961 0.8050 Br
0.7039 0.0000 0.1950 Br
0.0000 0.7039 0.8050 Br
0.0000 0.7039 0.1950 Br
0.0000 0.0000 0.5000 C

***

TmSnBi (PBE, optimized geometry); distance to the lowest polymorph of the same formula = 0 meV per atom
1.0
0.0000 3.6668 3.6668
3.6668 0.0000 3.6668
3.6668 3.6668 0.0000
Sn Tm Bi
1 1 1
Direct
0.7500 0.7500 0.7500 Sn
0.0000 0.0000 0.0000 Tm
0.2500 0.2500 0.2500 Bi

***

KAcTh (PBE, optimized geometry); distance to the lowest polymorph of the same formula = 0 meV per atom
1.0
0.0000 4.2425 4.2425
4.2425 0.0000 4.2425
4.2425 4.2425 0.0000
K Ac Th
1 1 1
Direct
0.2500 0.2500 0.2500 K
0.7500 0.7500 0.7500 Ac
0.0000 0.0000 0.0000 Th

***

Sc3Zn2Ag3 (PBE, optimized geometry); ΔH_f (0 K) = -0.243 eV per atom; distance to the lowest polymorph of the same formula = 0 meV per atom
1.0
5.8772 0.0000 0.0000
0.0000 4.7638 0.0000
-2.3842 0.0000 5.3937
Ag Sc Zn
3 3 2
Direct
0.6415 0.0000 0.8555 Ag
0.8738 0.5000 0.1741 Ag
0.1460 0.0000 0.8429 Ag
0.3733 0.5000 0.1278 Sc
0.8331 0.5000 0.6567 Sc
0.1514 0.0000 0.3615 Sc
0.3317 0.5000 0.6330 Zn
0.6491 0.0000 0.3485 Zn

***

AlTlCu (PBE, optimized geometry); distance to the lowest polymorph of the same formula = 0 meV per atom
1.0
-8.5418 2.6425 8.4945
-7.4335 6.7343 7.1760
6.4115 -4.7646 -9.3965
Cu Al Tl
2 2 2
Direct
0.7780 0.7780 0.0000 Cu
0.2220 0.2220 0.0000 Cu
0.3320 0.3320 0.0000 Al
0.6680 0.6680 0.0000 Al
0.0705 0.0705 0.0000 Tl
0.9295 0.9295 0.0000 Tl

***

MgZnNO (PBE, optimized geometry); distance to the lowest polymorph of the same formula = 137 meV per atom
1.0
4.3545 0.0000 0.0000
0.0000 4.3545 0.0000
0.0000 0.0000 4.1263
N Zn O Mg
2 2 2 2
Direct
0.5000 0.0000 0.4990 N
0.0000 0.5000 0.5010 N
0.5000 0.0000 0.9987 Zn
0.0000 0.5000 0.0013 Zn
0.5000 0.5000 0.0000 O
0.0000 0.0000 0.0000 O
0.0000 0.0000 0.5000 Mg
0.5000 0.5000 0.5000 Mg

***

Tm6InTc2 (PBE, optimized geometry); final energy = -5.8139 eV per atom
1.0
-4.6755 4.7026 5.1949
4.6755 -4.7026 5.1949
4.6755 4.7026 -5.1949
Tc Tm In
4 12 2
Direct
0.6752 0.0000 0.6752 Tc
0.3248 0.0000 0.3248 Tc
0.1149 0.6149 0.5000 Tc
0.8851 0.3851 0.5000 Tc
0.6665 0.9813 0.3147 Tm
0.1874 0.7192 0.9066 Tm
0.6665 0.3518 0.6853 Tm
0.8126 0.2808 0.0934 Tm
0.3335 0.6482 0.3147 Tm
0.5492 0.7545 0.7947 Tm
0.3335 0.0187 0.6853 Tm
0.9598 0.7545 0.2053 Tm
0.8126 0.7192 0.5318 Tm
0.1874 0.2808 0.4682 Tm
0.0402 0.2455 0.7947 Tm
0.4508 0.2455 0.2053 Tm
0.0000 0.0000 0.0000 In
0.5000 0.5000 0.0000 In

***

HoNbH4 (PBE, optimized geometry); final energy = -5.1170 eV per atom
1.0
-1.0985 -1.9356 2.6282
3.0202 0.4488 1.5929
-1.6837 3.8263 2.1143
H Nb Ho
4 1 1
Direct
0.0000 0.5000 0.2842 H
0.5000 0.0000 0.2842 H
0.5000 0.0000 0.7158 H
0.0000 0.5000 0.7158 H
0.5000 0.5000 0.5000 Nb
0.0000 0.0000 0.0000 Ho

***

CuTc3Se4 (PBE, optimized geometry); final energy = -6.2896 eV per atom
1.0
3.8544 -3.8565 0.0000
3.8544 3.8565 0.0000
0.0000 0.0000 12.1899
Cu Tc Se
2 6 8
Direct
0.7613 0.2387 0.4791 Cu
0.2387 0.7613 0.9791 Cu
0.7617 0.7383 0.4833 Tc
0.2617 0.2383 0.4833 Tc
0.2383 0.2617 0.9833 Tc
0.7383 0.7617 0.9833 Tc
0.7384 0.2616 0.9842 Tc
0.2616 0.7384 0.4842 Tc
0.4983 0.5017 0.8544 Se
0.9819 0.5043 0.1119 Se
0.0181 0.4957 0.6119 Se
0.5043 0.9819 0.6119 Se
0.9783 0.0217 0.8540 Se
0.4957 0.0181 0.1119 Se
0.5017 0.4983 0.3544 Se
0.0217 0.9783 0.3540 Se

***

MoSe2S2Br (PBE, optimized geometry); distance to the lowest polymorph of the same formula = 57 meV per atom
1.0
-2.2717 5.7935 -1.1121
-5.6318 -5.4502 0.9917
3.7813 0.5842 7.0627
S Se Br Mo
4 4 2 2
Direct
0.4847 0.0923 0.8105 S
0.1777 0.2997 0.0858 S
0.8223 0.7003 0.9142 S
0.5153 0.9077 0.1895 S
0.7004 0.2401 0.2493 Se
0.2996 0.7599 0.7507 Se
0.8224 0.8438 0.6980 Se
0.1776 0.1562 0.3020 Se
0.9004 0.6360 0.2515 Br
0.0996 0.3640 0.7485 Br
0.2242 0.9997 0.9992 Mo
0.7758 0.0003 0.0008 Mo

***

PrAl3O6 (PBE, optimized geometry); final energy = -7.6184 eV per atom
1.0
-5.5592 2.1934 3.2366
-0.6357 -4.9268 4.6383
4.8832 3.6049 1.1596
Al O Pr
6 12 2
Direct
0.8573 0.7491 0.8182 Al
0.3108 0.6892 0.2500 Al
0.2509 0.1427 0.6818 Al
0.6892 0.3108 0.7500 Al
0.7491 0.8573 0.3182 Al
0.1427 0.2509 0.1818 Al
0.1117 0.6770 0.9777 O
0.2435 0.0827 0.9429 O
0.7565 0.9173 0.0571 O
0.8883 0.3230 0.0223 O
0.3230 0.8883 0.5223 O
0.0827 0.2435 0.4429 O
0.3158 0.4616 0.3227 O
0.6770 0.1117 0.4777 O
0.9173 0.7565 0.5571 O
0.6842 0.5384 0.6773 O
0.5384 0.6842 0.1773 O
0.4616 0.3158 0.8227 O
0.6795 0.3205 0.2500 Pr
0.3205 0.6795 0.7500 Pr

***

CsPaBe (PBE, optimized geometry); distance to the lowest polymorph of the same formula = 0 meV per atom
1.0
-4.6779 -0.7066 1.4812
-2.4534 3.6494 2.2887
-3.7126 2.3260 -2.3198
Pa Be Cs
1 1 1
Direct
0.7500 0.7500 0.7500 Pa
0.0000 0.0000 0.0000 Be
0.2500 0.2500 0.2500 Cs

***

ZnCuReNi (PBE, optimized geometry); ΔH_f (0 K) = 0.311 eV per atom; distance to the lowest polymorph of the same formula = 0 meV per atom
1.0
0.6196 -3.8618 -1.4692
-1.7734 -1.1768 -3.5953
2.3583 -0.5889 -3.3982
Ni Re Cu Zn
1 1 1 1
Direct
0.2500 0.2500 0.2500 Ni
0.5000 0.5000 0.5000 Re
0.7500 0.7500 0.7500 Cu
0.0000 0.0000 0.0000 Zn

***

NaSmTeO (PBE, optimized geometry); distance to the lowest polymorph of the same formula = 212 meV per atom
1.0
-3.3117 5.8319 0.3662
0.2257 -0.1592 4.5754
6.7397 3.8397 -0.1989
Sm O Te Na
2 2 2 2
Direct
0.9898 0.5000 0.3835 Sm
0.4898 0.5000 0.6165 Sm
0.8141 0.5000 0.6175 O
0.3141 0.5000 0.3825 O
0.8320 0.0000 0.1758 Te
0.3320 0.0000 0.8242 Te
0.3731 0.0000 0.2251 Na
0.8731 0.0000 0.7749 Na

***

SrNiAsAu (PBE, optimized geometry); distance to the lowest polymorph of the same formula = 94 meV per atom
1.0
1.5113 -4.5927 0.3874
-2.8766 -3.6295 -1.4415
1.1051 -2.5339 -3.9856
Ni Au As Sr
1 1 1 1
Direct
0.5000 0.5000 0.5000 Ni
0.7500 0.7500 0.7500 Au
0.0000 0.0000 0.0000 As
0.2500 0.2500 0.2500 Sr

***

HfUTa (PBE, optimized geometry); ΔH_f (0 K) = 1.332 eV per atom; distance to the lowest polymorph of the same formula = 277 meV per atom
1.0
1.6224 -4.1905 -1.2247
-1.4874 -2.0167 -3.9259
2.8752 -0.4110 -3.6409
Hf U Ta
1 1 1
Direct
0.0000 0.0000 0.0000 Hf
0.2500 0.2500 0.2500 U
0.5000 0.5000 0.5000 Ta

***

ScCuPbSe2S (PBE, optimized geometry); final energy = -5.1148 eV per atom
1.0
1.9569 -6.7115 0.0000
1.9569 6.7115 0.0000
0.0000 0.0000 9.8430
Cu Se S Sc Pb
2 4 2 2 2
Direct
0.9731 0.0269 0.7500 Cu
0.0269 0.9731 0.2500 Cu
0.8616 0.1384 0.5533 Se
0.8616 0.1384 0.9467 Se
0.1384 0.8616 0.0533 Se
0.1384 0.8616 0.4467 Se
0.5678 0.4322 0.7500 S
0.4322 0.5678 0.2500 S
0.5000 0.5000 0.0000 Sc
0.5000 0.5000 0.5000 Sc
0.2441 0.7559 0.7500 Pb
0.7559 0.2441 0.2500 Pb

***

PmBeSb (PBE, optimized geometry); final energy = -4.0003 eV per atom
1.0
-2.9882 1.1092 3.7996
-4.8476 -1.0096 -0.2809
-1.9420 -3.6278 2.7685
Be Pm Sb
1 1 1
Direct
0.2500 0.2500 0.2500 Be
0.0000 0.0000 0.0000 Pm
0.7500 0.7500 0.7500 Sb

***

AgAsIrO (PBE, optimized geometry); distance to the lowest polymorph of the same formula = 161 meV per atom
1.0
4.1012 0.0000 0.0000
0.0000 4.1012 0.0000
0.0000 0.0000 8.1661
Ir O As Ag
2 2 2 2
Direct
0.5000 0.5000 0.5000 Ir
0.0000 0.0000 0.5000 Ir
0.0000 0.0000 0.0000 O
0.5000 0.5000 0.0000 O
0.5000 0.0000 0.3303 As
0.0000 0.5000 0.6697 As
0.0000 0.5000 0.0781 Ag
0.5000 0.0000 0.9219 Ag